No. 1
## Y6Ho3Tm (PBE)

Data for an optimized crystal structure of Y6Ho3Tm.

Lattice parameters (Å, degrees): 6.3684 11.5083 11.5083 130.59 90.00 90.00
Closest atoms and distances in Å follow each position.
Atoms (fractional coordinates):
1 Y 0.0682 0.7421 0.6216  3 Ho 3.35-3.52, 4 Y 3.50-3.67, 1 Tm 3.72
2 Y 0.5682 0.6216 0.7421  3 Ho 3.35-3.52, 4 Y 3.50-3.67, 1 Tm 3.72
3 Y 0.3263 0.4582 0.8955  2 Ho 3.24-3.39, 3 Y 3.40-3.56, 2 Tm 3.55-3.62
4 Y 0.8263 0.8955 0.4582  2 Ho 3.24-3.39, 3 Y 3.40-3.56, 2 Tm 3.55-3.62
5 Y 0.3199 0.9849 0.0151  4 Y 3.25-3.57, 1 Tm 3.30, 4 Ho 3.54-3.55
6 Y 0.7866 0.3006 0.6994  1 Ho 3.15, 1 Tm 3.28, 2 Y 3.41
7 Y 0.2866 0.6994 0.3006  1 Ho 3.15, 1 Tm 3.28, 2 Y 3.41
8 Y 0.8199 0.0151 0.9849  4 Y 3.25-3.57, 1 Tm 3.30, 4 Ho 3.54-3.55
9 Y 0.3263 0.1045 0.5418  2 Ho 3.24-3.39, 3 Y 3.40-3.56, 2 Tm 3.55-3.62
10 Y 0.8263 0.5418 0.1045  2 Ho 3.24-3.39, 3 Y 3.40-3.56, 2 Tm 3.55-3.62
11 Y 0.0682 0.3784 0.2579  3 Ho 3.35-3.52, 4 Y 3.50-3.67, 1 Tm 3.72
12 Y 0.5682 0.2579 0.3784  3 Ho 3.35-3.52, 4 Y 3.50-3.67, 1 Tm 3.72
13 Ho 0.4895 0.9594 0.7051  2 Ho 3.23-3.40, 5 Y 3.24-3.55, 1 Tm 3.48
14 Ho 0.9895 0.7051 0.9594  2 Ho 3.23-3.40, 5 Y 3.24-3.55, 1 Tm 3.48
15 Ho 0.0925 0.4192 0.5808  5 Y 3.15-3.52, 2 Ho 3.40
16 Ho 0.5925 0.5808 0.4192  5 Y 3.15-3.52, 2 Ho 3.40
17 Ho 0.9895 0.0406 0.2949  2 Ho 3.23-3.40, 5 Y 3.24-3.55, 1 Tm 3.48
18 Ho 0.4895 0.2949 0.0406  2 Ho 3.23-3.40, 5 Y 3.24-3.55, 1 Tm 3.48
19 Tm 0.0185 0.1607 0.8393  6 Y 3.28-3.62, 2 Ho 3.48
20 Tm 0.5185 0.8393 0.1607  6 Y 3.28-3.62, 2 Ho 3.48

Computed properties:
- Energy above the lowest structure with this stoichiometry: 0.000 eV per atom
- Volume: 32.026 Å³/atom

---

No. 2
## Y5HoTm2 (PBE)

Data for an optimized crystal structure of Y5HoTm2.

Lattice parameters (Å, degrees): 8.7615 8.4368 11.2102 90.00 90.00 38.83
Closest atoms and distances in Å follow each position.
Atoms (fractional coordinates):
1 Y 0.6641 0.0433 0.9236  3 Tm 3.14-3.48, 2 Y 3.37-3.47, 1 Ho 3.49
2 Y 0.6642 0.0432 0.5765  3 Tm 3.14-3.48, 2 Y 3.37-3.47, 1 Ho 3.49
3 Y 0.2012 0.6765 0.4213  4 Y 3.37-3.75, 2 Tm 3.45-3.56, 1 Ho 3.49
4 Y 0.2012 0.6765 0.0787  4 Y 3.37-3.75, 2 Tm 3.45-3.56, 1 Ho 3.49
5 Y 0.7696 0.3110 0.2500  2 Tm 3.46, 1 Ho 3.52, 6 Y 3.70-3.77
6 Y 0.2304 0.6890 0.7500  2 Tm 3.46, 1 Ho 3.52, 6 Y 3.70-3.77
7 Y 0.7988 0.3235 0.5787  4 Y 3.37-3.75, 2 Tm 3.45-3.56, 1 Ho 3.49
8 Y 0.7988 0.3235 0.9213  4 Y 3.37-3.75, 2 Tm 3.45-3.56, 1 Ho 3.49
9 Y 0.3359 0.9567 0.0764  3 Tm 3.14-3.48, 2 Y 3.37-3.47, 1 Ho 3.49
10 Y 0.3358 0.9568 0.4235  3 Tm 3.14-3.48, 2 Y 3.37-3.47, 1 Ho 3.49
11 Ho 0.4991 0.8502 0.7500  4 Tm 3.41-3.70, 7 Y 3.49-3.77
12 Ho 0.5009 0.1498 0.2500  4 Tm 3.41-3.70, 7 Y 3.49-3.77
13 Tm 0.8920 0.5740 0.3824  2 Tm 2.90-2.97, 1 Y 3.14
14 Tm 0.8921 0.5739 0.1176  2 Tm 2.90-2.97, 1 Y 3.14
15 Tm 0.1080 0.4260 0.6176  2 Tm 2.90-2.97, 1 Y 3.14
16 Tm 0.1079 0.4261 0.8824  2 Tm 2.90-2.97, 1 Y 3.14

Computed properties:
- Energy above the lowest structure with this stoichiometry: 0.141 eV per atom
- Volume: 32.472 Å³/atom

---

No. 3
## Y2HoTm9 (PBE)

Data for an optimized crystal structure of Y2HoTm9.

Lattice parameters (Å, degrees): 3.4564 11.0855 11.0855 120.00 90.00 90.00
Closest atoms and distances in Å follow each position.
Atoms (fractional coordinates):
1 Y 0.0000 0.3333 0.6667  9 Tm 3.20-3.48, 2 Y 3.46
2 Y 0.0000 0.6667 0.3333  9 Tm 3.20-3.48, 2 Y 3.46
3 Ho 0.0000 0.0000 0.0000  2 Ho 3.46, 12 Tm 3.79
4 Tm 0.0000 0.0000 0.5000  2 Y 3.20, 10 Tm 3.46-3.56
5 Tm 0.0000 0.5000 0.5000  2 Y 3.20, 10 Tm 3.46-3.56
6 Tm 0.0000 0.5000 0.0000  2 Y 3.20, 10 Tm 3.46-3.56
7 Tm 0.5000 0.3518 0.1759  8 Tm 3.38-3.56, 2 Y 3.48
8 Tm 0.5000 0.1759 0.8241  8 Tm 3.38-3.56, 2 Y 3.48
9 Tm 0.5000 0.1759 0.3518  8 Tm 3.38-3.56, 2 Y 3.48
10 Tm 0.5000 0.8241 0.6482  8 Tm 3.38-3.56, 2 Y 3.48
11 Tm 0.5000 0.8241 0.1759  8 Tm 3.38-3.56, 2 Y 3.48
12 Tm 0.5000 0.6482 0.8241  8 Tm 3.38-3.56, 2 Y 3.48

Computed properties:
- Energy above the lowest structure with this stoichiometry: 0.038 eV per atom
- Volume: 30.654 Å³/atom

---

No. 4
## YHoTm3 (PBE)

Data for an optimized crystal structure of YHoTm3.

Lattice parameters (Å, degrees): 9.4912 6.6252 6.2086 117.89 109.11 95.89
Closest atoms and distances in Å follow each position.
Atoms (fractional coordinates):
1 Y 0.1503 0.4515 0.1168  9 Tm 3.46-3.60, 1 Y 3.49, 2 Ho 3.58-3.59
2 Y 0.8497 0.9485 0.8832  9 Tm 3.46-3.60, 1 Y 3.49, 2 Ho 3.58-3.59
3 Ho 0.6495 0.9505 0.2849  9 Tm 3.47-3.59, 1 Ho 3.48, 2 Y 3.58-3.59
4 Ho 0.3506 0.4494 0.7151  9 Tm 3.47-3.60, 1 Ho 3.48, 2 Y 3.58-3.59
5 Tm 0.0503 0.9503 0.4833  4 Y 3.47-3.59, 6 Tm 3.47-3.60, 2 Ho 3.47-3.59
6 Tm 0.7489 0.4506 0.9179  6 Tm 3.46-3.60, 3 Y 3.46-3.60, 3 Ho 3.47-3.57
7 Tm 0.5496 0.4488 0.3150  6 Tm 3.46-3.59, 4 Ho 3.47-3.58, 2 Y 3.48-3.59
8 Tm 0.4505 0.9511 0.6850  6 Tm 3.46-3.59, 4 Ho 3.47-3.58, 2 Y 3.48-3.59
9 Tm 0.2511 0.9494 0.0821  6 Tm 3.46-3.60, 3 Y 3.46-3.60, 3 Ho 3.47-3.57
10 Tm 0.9497 0.4497 0.5167  4 Y 3.47-3.59, 6 Tm 3.47-3.60, 2 Ho 3.47-3.60

Computed properties:
- Energy above the lowest structure with this stoichiometry: 0.000 eV per atom
- Volume: 31.039 Å³/atom

---

No. 5
## Y5HoTm12 (PBE)

Data for an optimized crystal structure of Y5HoTm12.

Lattice parameters (Å, degrees): 6.1085 6.1053 17.2080 86.58 83.15 59.98
Closest atoms and distances in Å follow each position.
Atoms (fractional coordinates):
1 Y 0.5000 0.0000 0.5000  6 Y 3.52-3.53, 6 Tm 3.53-3.54
2 Y 0.1666 0.6668 0.5000  6 Y 3.52-3.53, 6 Tm 3.53-3.54
3 Y 0.8334 0.3332 0.5000  6 Y 3.52-3.53, 6 Tm 3.53-3.54
4 Y 0.6667 0.6667 0.0000  6 Tm 3.50, 3 Ho 3.52-3.53, 3 Y 3.52-3.53
5 Y 0.3333 0.3334 0.0000  6 Tm 3.50, 3 Ho 3.52-3.53, 3 Y 3.52-3.53
6 Ho 0.0000 0.0000 0.0000  6 Tm 3.50, 6 Y 3.52-3.53
7 Tm 0.8887 0.0000 0.3307  9 Tm 3.46-3.53, 3 Y 3.53-3.54
8 Tm 0.1113 0.0000 0.6693  9 Tm 3.46-3.53, 3 Y 3.53-3.54
9 Tm 0.7243 0.0000 0.8333  9 Tm 3.46-3.53, 1 Ho 3.50, 2 Y 3.50
10 Tm 0.2758 0.0000 0.1667  9 Tm 3.46-3.53, 1 Ho 3.50, 2 Y 3.50
11 Tm 0.3890 0.6676 0.8333  9 Tm 3.46-3.53, 1 Ho 3.50, 2 Y 3.50
12 Tm 0.9434 0.6676 0.1667  9 Tm 3.46-3.53, 1 Ho 3.50, 2 Y 3.50
13 Tm 0.0566 0.3324 0.8333  9 Tm 3.46-3.53, 1 Ho 3.50, 2 Y 3.50
14 Tm 0.6110 0.3324 0.1667  9 Tm 3.46-3.53, 1 Ho 3.50, 2 Y 3.50
15 Tm 0.4446 0.3334 0.6694  9 Tm 3.46-3.53, 3 Y 3.53-3.54
16 Tm 0.7780 0.6666 0.6694  9 Tm 3.46-3.53, 3 Y 3.53-3.54
17 Tm 0.2220 0.3334 0.3306  9 Tm 3.46-3.53, 3 Y 3.53-3.54
18 Tm 0.5554 0.6666 0.3306  9 Tm 3.46-3.53, 3 Y 3.53-3.54

Computed properties:
- Energy: -5.0153 eV per atom
- Volume: 30.651 Å³/atom

---

No. 6
## Y2Ho9Tm (PBE)

Data for an optimized crystal structure of Y2Ho9Tm.

Lattice parameters (Å, degrees): 4.9929 4.9929 14.9785 90.00 90.00 90.00
Closest atoms and distances in Å follow each position.
Atoms (fractional coordinates):
1 Y 0.0000 0.0000 0.3327  12 Ho 3.53-3.54
2 Y 0.0000 0.0000 0.6673  12 Ho 3.53-3.54
3 Ho 0.5000 0.5000 0.0000  8 Ho 3.51, 4 Tm 3.53
4 Ho 0.5000 0.5000 0.3324  4 Y 3.53, 8 Ho 3.54
5 Ho 0.5000 0.5000 0.6676  4 Y 3.53, 8 Ho 3.54
6 Ho 0.5000 0.0000 0.1651  2 Tm 3.51, 8 Ho 3.51-3.54, 2 Y 3.54
7 Ho 0.5000 0.0000 0.5000  8 Ho 3.53-3.54, 4 Y 3.54
8 Ho 0.5000 0.0000 0.8349  2 Tm 3.51, 8 Ho 3.51-3.54, 2 Y 3.54
9 Ho 0.0000 0.5000 0.1651  8 Ho 3.51-3.54, 2 Tm 3.51, 2 Y 3.54
10 Ho 0.0000 0.5000 0.5000  8 Ho 3.53-3.54, 4 Y 3.54
11 Ho 0.0000 0.5000 0.8349  8 Ho 3.51-3.54, 2 Tm 3.51, 2 Y 3.54
12 Tm 0.0000 0.0000 0.0000  12 Ho 3.51-3.53

Computed properties:
- Energy above the lowest structure with this stoichiometry: 0.000 eV per atom
- Volume: 31.117 Å³/atom

---

No. 7
## YHo4Tm3 (PBE)

Data for an optimized crystal structure of YHo4Tm3.

Lattice parameters (Å, degrees): 3.5215 10.5408 7.8615 81.38 63.37 70.48
Closest atoms and distances in Å follow each position.
Atoms (fractional coordinates):
1 Y 0.5000 0.5001 0.9999  2 Tm 3.51, 2 Y 3.52, 8 Ho 3.53
2 Tm 0.5000 0.0001 0.5000  8 Ho 3.50, 4 Tm 3.51-3.52
3 Tm 0.9999 0.0001 0.0000  8 Ho 3.51, 4 Tm 3.51-3.52
4 Tm 0.9999 0.5001 0.5000  2 Y 3.51, 2 Tm 3.52, 8 Ho 3.52
5 Ho 0.9994 0.7518 0.7489  4 Ho 3.50-3.53, 6 Tm 3.50-3.52, 2 Y 3.53
6 Ho 0.4969 0.7517 0.2511  4 Ho 3.50-3.53, 6 Tm 3.50-3.52, 2 Y 3.53
7 Ho 0.0004 0.2485 0.2510  4 Ho 3.50-3.53, 6 Tm 3.50-3.52, 2 Y 3.53
8 Ho 0.5030 0.2484 0.7489  6 Tm 3.50-3.52, 4 Ho 3.50-3.53, 2 Y 3.53

Computed properties:
- Energy above the lowest structure with this stoichiometry: 0.026 eV per atom
- Volume: 30.733 Å³/atom

---

No. 8
## Y2HoTm (PBE)

Data for an optimized crystal structure of Y2HoTm.

Lattice parameters (Å, degrees): 3.5385 3.5385 10.0193 90.00 90.00 90.00
Closest atoms and distances in Å follow each position.
Atoms (fractional coordinates):
1 Y 0.0000 0.0000 0.7511  4 Tm 3.53, 4 Y 3.54, 4 Ho 3.55
2 Y 0.0000 0.0000 0.2489  4 Tm 3.53, 4 Y 3.54, 4 Ho 3.55
3 Tm 0.5000 0.5000 0.0000  8 Y 3.53, 4 Tm 3.54
4 Ho 0.5000 0.5000 0.5000  4 Ho 3.54, 8 Y 3.55

Computed properties:
- Energy above the lowest structure with this stoichiometry: 0.026 eV per atom
- Volume: 31.363 Å³/atom